Density functional theory data (PBE) for a relaxed ScUPaO6 crystal.

Results
ΔE_f (raw) = -3355.6 meV per atom
crystal system = trigonal

Cell and atoms, written as CIF:
```
data_ScUPaO6
_chemical_formula_sum 'Sc2 U2 Pa2 O12'
_space_group_name_H-M_alt 'P -3 1 c'
_space_group_IT_number 163
_space_group_name_Hall '-P 3 2c'
_cell_length_a 5.5914
_cell_length_b 5.5914
_cell_length_c 9.5525
_cell_angle_alpha 90.00
_cell_angle_beta 90.00
_cell_angle_gamma 120.00
loop_
_atom_site_label
_atom_site_fract_x
_atom_site_fract_y
_atom_site_fract_z
_atom_site_occupancy
Sc1 0.3333 0.6667 0.2500 1
U1 0.3333 0.6667 0.7500 1
Pa1 0.0000 0.0000 0.0000 1
O1 0.0085 0.3377 0.1318 1
```

=====

Density functional theory data (PBE) for a relaxed NaPuCO5 crystal.

Results
ΔE_f (raw) = -1926.8 meV per atom
crystal system = monoclinic

Cell and atoms, written as CIF:
```
data_NaPuCO5
_chemical_formula_sum 'Na4 Pu4 C4 O20'
_space_group_name_H-M_alt 'C 1 2/c 1'
_space_group_IT_number 15
_cell_length_a 6.7382
_cell_length_b 8.6111
_cell_length_c 7.6374
_cell_angle_alpha 90.00
_cell_angle_beta 114.72
_cell_angle_gamma 90.00
loop_
_space_group_symop_operation_xyz
'x,y,z'
'-x,-y,-z'
'-x,y,-z+1/2'
'x,-y,z+1/2'
'x+1/2,y+1/2,z'
'-x+1/2,-y+1/2,-z'
'-x+1/2,y+1/2,-z+1/2'
'x+1/2,-y+1/2,z+1/2'
loop_
_atom_site_label
_atom_site_fract_x
_atom_site_fract_y
_atom_site_fract_z
_atom_site_occupancy
Na1 0.0000 0.1531 0.2500 1
Pu1 0.0000 0.5000 0.0000 1
C1 0.0000 0.1821 0.7500 1
O1 0.0000 0.4109 0.2500 1
O2 0.0894 0.2750 0.6483 1
O3 0.1618 0.0845 0.8815 1
```

=====

Density functional theory data (PBE) for a relaxed PHCl crystal.

Results
crystal system = triclinic
distance to the lowest polymorph of the same formula = 0.223 eV/atom

Cell and atoms, written as CIF:
```
data_PHCl
_chemical_formula_sum 'P1 H1 Cl1'
_space_group_name_H-M_alt 'P 1'
_space_group_IT_number 1
_cell_length_a 3.0130
_cell_length_b 4.5340
_cell_length_c 5.6122
_cell_angle_alpha 101.26
_cell_angle_beta 105.54
_cell_angle_gamma 109.27
loop_
_space_group_symop_operation_xyz
'x,y,z'
loop_
_atom_site_label
_atom_site_fract_x
_atom_site_fract_y
_atom_site_fract_z
_atom_site_occupancy
P1 0.0000 0.0000 0.0000 1
H1 0.1913 0.3476 0.0375 1
Cl1 0.2129 0.0400 0.3867 1
```

=====

Density functional theory data (PBE) for a relaxed Y2TmTl9 crystal.

Results
E_form = -21.9 kJ/mol of atoms
crystal system = tetragonal

Cell and atoms, written as CIF:
```
data_Y2TmTl9
_chemical_formula_sum 'Y2 Tm1 Tl9'
_space_group_name_H-M_alt 'P 4/m m m'
_space_group_IT_number 123
_space_group_name_Hall '-P 4 2'
_cell_length_a 4.7646
_cell_length_b 4.7646
_cell_length_c 14.2925
_cell_angle_alpha 90.00
_cell_angle_beta 90.00
_cell_angle_gamma 90.00
loop_
_atom_site_label
_atom_site_fract_x
_atom_site_fract_y
_atom_site_fract_z
_atom_site_occupancy
Y1 0.0000 0.0000 0.1667 1
Tm1 0.0000 0.0000 0.5000 1
Tl1 0.0000 0.5000 0.0000 1
Tl2 0.0000 0.5000 0.3348 1
Tl3 0.5000 0.5000 0.1674 1
Tl4 0.5000 0.5000 0.5000 1
```

=====

Density functional theory data (PBE) for a relaxed Ac5CoAu2N crystal.

Results
ΔE_f (raw) = -618.1 meV per atom
crystal system = orthorhombic

Cell and atoms, written as CIF:
```
data_Ac5CoAu2N
_chemical_formula_sum 'Ac20 Co4 Au8 N4'
_space_group_name_H-M_alt 'C m c 21'
_space_group_IT_number 36
_cell_length_a 4.2250
_cell_length_b 18.8339
_cell_length_c 13.9263
_cell_angle_alpha 90.00
_cell_angle_beta 90.00
_cell_angle_gamma 90.00
loop_
_space_group_symop_operation_xyz
'x,y,z'
'-x,-y,z+1/2'
'-x,y,z'
'x,-y,z+1/2'
'x+1/2,y+1/2,z'
'-x+1/2,-y+1/2,z+1/2'
'-x+1/2,y+1/2,z'
'x+1/2,-y+1/2,z+1/2'
loop_
_atom_site_label
_atom_site_fract_x
_atom_site_fract_y
_atom_site_fract_z
_atom_site_occupancy
Ac1 0.0000 0.0027 0.0000 1
Ac2 0.0000 0.1473 0.2319 1
Ac3 0.0000 0.1870 0.6072 1
Ac4 0.0000 0.2134 0.8928 1
Ac5 0.0000 0.4549 0.2401 1
Co1 0.0000 0.2933 0.2518 1
Au1 0.0000 0.3685 0.5481 1
Au2 0.0000 0.3885 0.9070 1
N1 0.0000 0.0559 0.6498 1
```

=====

Density functional theory data (PBE) for a relaxed NbCrH2S crystal.

Results
raw total energy = -5.3320 eV/atom
crystal system = tetragonal

Cell and atoms, written as CIF:
```
data_NbCrH2S
_chemical_formula_sum 'Nb1 Cr1 H2 S1'
_space_group_name_H-M_alt 'P 4/m m m'
_space_group_IT_number 123
_space_group_name_Hall '-P 4 2'
_cell_length_a 3.5110
_cell_length_b 3.5110
_cell_length_c 5.2509
_cell_angle_alpha 90.00
_cell_angle_beta 90.00
_cell_angle_gamma 90.00
loop_
_atom_site_label
_atom_site_fract_x
_atom_site_fract_y
_atom_site_fract_z
_atom_site_occupancy
Nb1 0.0000 0.0000 0.0000 1
Cr1 0.5000 0.5000 0.0000 1
H1 0.0000 0.5000 0.5000 1
S1 0.0000 0.0000 0.5000 1
```

=====

Density functional theory data (PBE) for a relaxed NpPaTc crystal.

Results
E_form = 13.0 kJ/mol of atoms
crystal system = orthorhombic
distance to the lowest polymorph of the same formula = 0.135 eV/atom

Cell and atoms, written as CIF:
```
data_NpPaTc
_chemical_formula_sum 'Np4 Pa4 Tc4'
_space_group_name_H-M_alt 'I m m m'
_space_group_IT_number 71
_space_group_name_Hall '-I 2 2'
_cell_length_a 3.9899
_cell_length_b 7.2069
_cell_length_c 8.6693
_cell_angle_alpha 90.00
_cell_angle_beta 90.00
_cell_angle_gamma 90.00
loop_
_atom_site_label
_atom_site_fract_x
_atom_site_fract_y
_atom_site_fract_z
_atom_site_occupancy
Np1 0.0000 0.0000 0.1357 1
Pa1 0.0000 0.2308 0.5000 1
Tc1 0.0000 0.5000 0.1766 1
```

=====

Density functional theory data (PBE) for a relaxed BaTcAu2 crystal.

Results
E_form = 35.0 kJ/mol of atoms
crystal system = tetragonal
distance to the lowest polymorph of the same formula = 0.313 eV/atom

Cell and atoms, written as CIF:
```
data_BaTcAu2
_chemical_formula_sum 'Ba4 Tc4 Au8'
_space_group_name_H-M_alt 'I 41/a m d'
_space_group_IT_number 141
_cell_length_a 5.3065
_cell_length_b 5.3065
_cell_length_c 18.2269
_cell_angle_alpha 90.00
_cell_angle_beta 90.00
_cell_angle_gamma 90.00
loop_
_space_group_symop_operation_xyz
'x,y,z'
'-x,-y,-z'
'-y+1/4,x+3/4,z+1/4'
'y+1/4,-x+3/4,-z+1/4'
'-x+1/2,-y,z+1/2'
'x+1/2,y,-z+1/2'
'y+1/4,-x+1/4,z+3/4'
'-y+1/4,x+1/4,-z+3/4'
'x,-y,-z'
'-x,y,z'
'-y+1/4,-x+1/4,-z+3/4'
'y+1/4,x+1/4,z+3/4'
'-x+1/2,y,-z+1/2'
'x+1/2,-y,z+1/2'
'y+1/4,x+3/4,-z+1/4'
'-y+1/4,-x+3/4,z+1/4'
'x+1/2,y+1/2,z+1/2'
'-x+1/2,-y+1/2,-z+1/2'
'-y+3/4,x+1/4,z+3/4'
'y+3/4,-x+1/4,-z+3/4'
'-x,-y+1/2,z'
'x,y+1/2,-z'
'y+3/4,-x+3/4,z+1/4'
'-y+3/4,x+3/4,-z+1/4'
'x+1/2,-y+1/2,-z+1/2'
'-x+1/2,y+1/2,z+1/2'
'-y+3/4,-x+3/4,-z+1/4'
'y+3/4,x+3/4,z+1/4'
'-x,y+1/2,-z'
'x,-y+1/2,z'
'y+3/4,x+1/4,-z+3/4'
'-y+3/4,-x+1/4,z+3/4'
loop_
_atom_site_label
_atom_site_fract_x
_atom_site_fract_y
_atom_site_fract_z
_atom_site_occupancy
Ba1 0.0000 0.2500 0.3750 1
Tc1 0.0000 0.2500 0.8750 1
Au1 0.0000 0.0000 0.0000 1
```